# Rb2CrN, optimized geometry, DFT PBE
data_Rb2CrN
_chemical_formula_sum 'Rb8 Cr4 N4'
_cell_length_a 12.647
_cell_length_b 12.647
_cell_length_c 3.753
_cell_angle_alpha 90.00
_cell_angle_beta 90.00
_cell_angle_gamma 90.00
_symmetry_space_group_name_H-M 'I -4 2 d'
_symmetry_Int_Tables_number 122
_symmetry_space_group_name_Hall 'I -4 2bw'
loop_
_atom_site_label
_atom_site_fract_x
_atom_site_fract_y
_atom_site_fract_z
_atom_site_occupancy
Rb1 0.040 0.250 0.125 1
Cr1 0.000 0.000 0.500 1
N1 0.000 0.000 0.000 1
# E_form (uncorrected), eV per atom: 0.185